# 1
The following is a DFT calculation (PBE) of NaCaIn after structural relaxation.

abc: 3.597 5.394 5.394
angles: 120.00 90.00 90.00
Element x y z (fractional)
Na: 0.842 0.000 0.000
Ca: 0.332 0.333 0.667
In: 0.826 0.667 0.333

Polymorph energy (0 for the lowest one), meV/atom: 10


# 2
The following is a DFT calculation (PBE) of Tb12Dy6Zr after structural relaxation.

abc: 9.342 9.342 9.342
angles: 110.92 110.92 110.92
Element x y z (fractional)
Tb: 0.371 0.054 0.582
Tb: 0.054 0.582 0.371
Tb: 0.582 0.371 0.054
Tb: 0.629 0.946 0.418
Tb: 0.946 0.418 0.629
Tb: 0.418 0.629 0.946
Tb: 0.103 0.155 0.741
Tb: 0.259 0.897 0.845
Tb: 0.845 0.259 0.897
Tb: 0.897 0.845 0.259
Tb: 0.741 0.103 0.155
Tb: 0.155 0.741 0.103
Dy: 0.208 0.311 0.466
Dy: 0.689 0.534 0.792
Dy: 0.534 0.792 0.689
Dy: 0.792 0.689 0.534
Dy: 0.311 0.466 0.208
Dy: 0.466 0.208 0.311
Zr: 0.000 0.000 0.000

E, Ry per atom: -0.353


# 3
The following is a DFT calculation (PBE) of CoCuNi2 after structural relaxation.

abc: 4.330 4.330 4.330
angles: 131.57 131.57 70.91
Each line ends with the local moment (μB).
Element x y z (fractional)
Ni: 0.000 0.000 0.000  0.59
Ni: 0.500 0.500 0.000  0.59
Co: 0.250 0.750 0.500  1.72
Cu: 0.750 0.250 0.500  0.07

E, Ry per atom: -0.414


# 4
The following is a DFT calculation (PBE) of CrMo2Au after structural relaxation.

abc: 4.901 4.901 4.901
angles: 133.32 133.32 68.15
Each line ends with the local moment (μB).
Element x y z (fractional)
Au: 0.250 0.750 0.500  0.01
Cr: 0.750 0.250 0.500  1.28
Mo: 0.000 0.000 0.000  -0.15
Mo: 0.500 0.500 0.000  -0.15

Polymorph energy (0 for the lowest one), meV/atom: 72


# 5
The following is a DFT calculation (PBE) of Sr5TlZn2 after structural relaxation.

abc: 8.340 8.340 10.417
angles: 113.60 113.60 90.00
Element x y z (fractional)
Sr: 0.532 0.676 0.708
Sr: 0.824 0.968 0.292
Sr: 0.000 0.000 0.000
Sr: 0.500 0.500 0.000
Sr: 0.176 0.032 0.708
Sr: 0.676 0.176 0.708
Sr: 0.032 0.532 0.708
Sr: 0.324 0.824 0.292
Sr: 0.968 0.468 0.292
Sr: 0.468 0.324 0.292
Tl: 0.750 0.750 0.500
Tl: 0.250 0.250 0.500
Zn: 0.107 0.393 0.000
Zn: 0.607 0.107 0.000
Zn: 0.393 0.893 0.000
Zn: 0.893 0.607 0.000

E, Ry per atom: -0.139


# 6
The following is a DFT calculation (PBE) of Sc2Pa after structural relaxation.

abc: 3.283 3.281 8.058
angles: 78.21 78.20 60.06
Element x y z (fractional)
Sc: 0.507 0.250 0.883
Sc: 0.056 0.801 0.223
Pa: 0.282 0.025 0.553

Polymorph energy (0 for the lowest one), meV/atom: 0